Record 1
This record from the Alexandria database describes a geometry-optimized Pm5TmSn5 structure. The functional is PBE-GGA.

Calculated values
Energy relative to the elements ... -475 meV per atom
Size of the total moment ... 0.00 μB/f.u.

Lattice parameters (Å, degrees): 6.147 8.732 7.276 104.58 90.00 110.61
Fractional coordinates of all 11 atoms:
Pm 0.322 0.644 0.706
Tm 0.000 0.000 0.000
Pm 0.678 0.356 0.294
Sn 0.500 0.000 0.000
Sn 0.835 0.670 0.107
Pm 0.000 0.000 0.500
Pm 0.656 0.312 0.786
Sn 0.837 0.674 0.646
Sn 0.163 0.326 0.354
Pm 0.344 0.688 0.214
Sn 0.165 0.330 0.893

***

Record 2
This record from the Alexandria database describes a geometry-optimized PmTmSn structure. The functional is PBE-GGA.

Calculated values
Energy relative to the elements ... -553 meV per atom
Excess energy over the best structure of this formula in the dataset ... 59.7 meV/atom
Size of the total moment ... 0.00 μB/f.u.

Lattice parameters (Å, degrees): 4.361 4.847 8.382 90.00 105.15 90.00
Fractional coordinates of all 6 atoms:
Pm 0.004 0.025 0.696
Sn 0.537 0.525 0.761
Pm 0.857 0.525 0.397
Tm 0.182 0.525 0.051
Tm 0.678 0.025 0.042
Sn 0.323 0.026 0.332

***

Record 3
This record from the Alexandria database describes a geometry-optimized Pm3Tm5Sn2 structure. The functional is PBE-GGA.

Calculated values
Energy relative to the elements ... -89 meV per atom
Size of the total moment ... 0.00 μB/f.u.

Lattice parameters (Å, degrees): 6.344 10.540 10.540 95.11 72.49 72.49
Fractional coordinates of all 20 atoms:
Tm 0.997 0.253 0.253
Tm 0.250 0.500 0.500
Tm 0.397 0.767 0.440
Sn 0.143 0.709 0.006
Tm 0.103 0.560 0.233
Tm 0.603 0.233 0.560
Tm 0.003 0.747 0.747
Pm 0.125 0.099 0.651
Pm 0.875 0.901 0.349
Pm 0.625 0.651 0.099
Pm 0.250 0.000 0.000
Tm 0.897 0.440 0.767
Sn 0.643 0.006 0.709
Sn 0.857 0.291 0.994
Tm 0.503 0.747 0.747
Tm 0.497 0.253 0.253
Pm 0.750 0.000 0.000
Tm 0.750 0.500 0.500
Pm 0.375 0.349 0.901
Sn 0.357 0.994 0.291

***

Record 4
This record from the Alexandria database describes a geometry-optimized Pm6Tm8Sn structure. The functional is PBE-GGA.

Calculated values
Energy relative to the elements ... 39 meV per atom
Size of the total moment ... 0.00 μB/f.u.

Lattice parameters (Å, degrees): 6.351 9.370 9.370 120.00 90.00 90.00
Fractional coordinates of all 15 atoms:
Pm 0.315 0.361 0.911
Pm 0.685 0.911 0.550
Tm 0.812 0.038 0.262
Pm 0.685 0.450 0.361
Tm 0.830 0.333 0.667
Tm 0.170 0.667 0.333
Tm 0.812 0.224 0.962
Tm 0.188 0.262 0.224
Pm 0.685 0.639 0.089
Tm 0.812 0.738 0.776
Tm 0.188 0.776 0.038
Sn 0.500 0.000 0.000
Pm 0.315 0.550 0.639
Pm 0.315 0.089 0.450
Tm 0.188 0.962 0.738

***

| no. | uncorrected energy (eV per formula unit) |
| --- | --- |
| 1 | -53.46 |
| 2 | -14.88 |
| 3 | -45.50 |
| 4 | -67.70 |